## ZrTc2Ge (PBE-GGA)

Data for an optimized crystal structure of ZrTc2Ge.

abc: 5.757 5.757 5.757
angles: 104.11 104.11 120.83
Atoms (fractional coordinates):
Zr 0.000 0.000 0.000
Zr 0.750 0.250 0.500
Tc 0.171 0.625 0.046
Tc 0.375 0.421 0.546
Tc 0.579 0.125 0.954
Tc 0.875 0.829 0.454
Ge 0.250 0.750 0.500
Ge 0.500 0.500 0.000

Calculated values
energy of formation from the pure elements = 0.35 eV per atom
Fermi-level density of states = 3.439 states/eV/f.u.